[1]
A relaxed structure of NdPdSe2O8. Source: Alexandria via LeMat-Bulk, functional GGA-PBE.

It has space group P-3m1 (No. 164), with a = 5.5949 Å, b = 5.5949 Å, c = 7.1362 Å, α = 90.00°, β = 90.00° and γ = 120.00°. Symmetry generates all atoms from Nd at (0.0000, 0.0000, 0.0000), Pd at (0.0000, 0.0000, 0.5000), Se at (0.3333, 0.6667, 0.1961), O at (0.1658, 0.3316, 0.2673) and O at (0.3333, 0.6667, 0.9610).

The value obtained for the total energy is -5.765 eV/atom. The calculation puts the total magnetization at 0.0833 μB/atom. The energy relative to the elements, uncorrected is -1.0486 eV per atom. The value obtained for the density is 4.61 g cm⁻³.

[2]
A relaxed structure of NdSm2PdO5. Source: Alexandria via LeMat-Bulk, functional GGA-PBE.

It has space group P4/mbm (No. 127), with a = 6.5578 Å, b = 6.5578 Å, c = 5.9613 Å, α = 90.00°, β = 90.00° and γ = 90.00°. Symmetry generates all atoms from Nd at (0.0000, 0.0000, 0.0000), Sm at (0.1649, 0.3351, 0.5000), Pd at (0.0000, 0.5000, 0.0000), O at (0.0000, 0.0000, 0.5000) and O at (0.1648, 0.6648, 0.2437).

The value obtained for the total energy is -7.430 eV/atom. The calculation puts the total magnetization at 0.1112 μB/atom. The energy relative to the elements, uncorrected is -2.5197 eV per atom. The value obtained for the density is 8.18 g cm⁻³.

[3]
A relaxed structure of Sr2NdPdO5. Source: Alexandria via LeMat-Bulk, functional GGA-PBE.

It has space group I4/mcm (No. 140), with a = 6.5809 Å, b = 6.5809 Å, c = 12.3955 Å, α = 90.00°, β = 90.00° and γ = 90.00°. Symmetry generates all atoms from Sr at (0.1646, 0.3354, 0.0000), Nd at (0.0000, 0.0000, 0.2500), Pd at (0.0000, 0.5000, 0.2500), O at (0.0000, 0.0000, 0.0000) and O at (0.1624, 0.3376, 0.3578).

The value obtained for the total energy is -6.121 eV/atom. The calculation puts the total magnetization at 0.1129 μB/atom. The energy relative to the elements, uncorrected is -1.8863 eV per atom. The value obtained for the density is 6.26 g cm⁻³.

[4]
A relaxed structure of SrNd2PdO5. Source: Alexandria via LeMat-Bulk, functional GGA-PBE.

It has space group P4/mbm (No. 127), with a = 6.7504 Å, b = 6.7504 Å, c = 5.9133 Å, α = 90.00°, β = 90.00° and γ = 90.00°. Symmetry generates all atoms from Sr at (0.0000, 0.0000, 0.0000), Nd at (0.1727, 0.3273, 0.5000), Pd at (0.0000, 0.5000, 0.0000), O at (0.0000, 0.0000, 0.5000) and O at (0.1442, 0.6442, 0.2476).

The value obtained for the total energy is -7.138 eV/atom. The calculation puts the total magnetization at 0.0000 μB/atom. The energy relative to the elements, uncorrected is -2.5601 eV per atom. The value obtained for the density is 6.93 g cm⁻³.

[5]
A relaxed structure of TbNd2PdO5. Source: Alexandria via LeMat-Bulk, functional GGA-PBE.

It has space group P4/mbm (No. 127), with a = 6.6005 Å, b = 6.6005 Å, c = 5.9290 Å, α = 90.00°, β = 90.00° and γ = 90.00°. Symmetry generates all atoms from Tb at (0.0000, 0.0000, 0.0000), Nd at (0.1630, 0.3370, 0.5000), Pd at (0.0000, 0.5000, 0.0000), O at (0.0000, 0.0000, 0.5000) and O at (0.1690, 0.6690, 0.2358).

The value obtained for the total energy is -7.309 eV/atom. The calculation puts the total magnetization at 0.1113 μB/atom. The energy relative to the elements, uncorrected is -2.4037 eV per atom. The value obtained for the density is 8.15 g cm⁻³.